Below is Ti3Mn2SbP6O24 after structural relaxation, with properties calculated at the PBE with a Hubbard U level.

Cell lengths 8.746, 8.746, 8.746 Å; angles 60.30, 60.30, 60.30 degrees
Atoms (fractional coordinates):
Ti: 0.145 0.145 0.145
Ti: 0.352 0.352 0.352
Ti: 0.647 0.647 0.647
Mn: 0.000 0.000 0.000
Mn: 0.498 0.498 0.498
Sb: 0.852 0.852 0.852
P: 0.749 0.054 0.444
P: 0.054 0.444 0.749
P: 0.534 0.262 0.956
P: 0.956 0.534 0.262
P: 0.262 0.956 0.534
P: 0.444 0.749 0.054
O: 0.345 0.107 0.468
O: 0.468 0.345 0.107
O: 0.917 0.055 0.259
O: 0.107 0.468 0.345
O: 0.796 0.045 0.595
O: 0.590 0.245 0.408
O: 0.055 0.259 0.917
O: 0.245 0.408 0.590
O: 0.383 0.191 0.995
O: 0.408 0.590 0.245
O: 0.725 0.107 0.960
O: 0.995 0.383 0.191
O: 0.045 0.595 0.796
O: 0.259 0.917 0.055
O: 0.555 0.418 0.761
O: 0.595 0.796 0.045
O: 0.761 0.555 0.418
O: 0.960 0.725 0.107
O: 0.418 0.761 0.555
O: 0.191 0.995 0.383
O: 0.884 0.504 0.693
O: 0.107 0.960 0.725
O: 0.504 0.693 0.884
O: 0.693 0.884 0.504

## Properties
The final energy comes out at -277.49 eV for the cell shown. Its space group is R3. As for the crystal system: trigonal. The size of the total moment comes out at 11.02 μB per cell.